This record from Alexandria via LeMat-Bulk describes a relaxed Tb2NdHg8 crystal. The functional is PBE.

Calculated values
* calculated volume: 281 Å³ per cell
* ΔE_f: -3.54 eV/f.u.
* SG: C2/m, No. 12
* M_tot: 0.0 μB/f.u.

Unit cell a=8.6418 b=8.6418 c=5.1263 alpha=107.19 beta=107.19 gamma=51.04
Fractional coordinates of all 11 atoms:
1 Tb 0.1912 0.1912 0.1907
2 Tb 0.8088 0.8088 0.8093
3 Nd 0.5000 0.5000 0.5000
4 Hg 0.0614 0.6368 0.3494
5 Hg 0.2060 0.7940 0.0000
6 Hg 0.3427 0.3427 0.8429
7 Hg 0.3632 0.9386 0.6506
8 Hg 0.6368 0.0614 0.3494
9 Hg 0.6573 0.6573 0.1571
10 Hg 0.7940 0.2060 0.0000
11 Hg 0.9386 0.3632 0.6506